# TmZnInPd | the Alexandria database | PBE-GGA | optimized geometry
data_TmZnInPd
_chemical_formula_sum 'Tm4 Zn4 In4 Pd4'
_symmetry_space_group_name_H-M 'P 1'
_symmetry_Int_Tables_number 1
_symmetry_space_group_name_Hall 'P 1'
_cell_length_a 6.756
_cell_length_b 6.756
_cell_length_c 6.756
_cell_angle_alpha 90.00
_cell_angle_beta 90.00
_cell_angle_gamma 90.00
loop_
_atom_site_label
_atom_site_type_symbol
_atom_site_fract_x
_atom_site_fract_y
_atom_site_fract_z
Tm1 Tm 0.000 0.000 0.000
Tm2 Tm 0.000 0.500 0.500
Tm3 Tm 0.500 0.000 0.500
Tm4 Tm 0.500 0.500 0.000
Zn1 Zn 0.250 0.250 0.250
Zn2 Zn 0.250 0.750 0.750
Zn3 Zn 0.750 0.250 0.750
Zn4 Zn 0.750 0.750 0.250
In1 In 0.000 0.000 0.500
In2 In 0.000 0.500 0.000
In3 In 0.500 0.000 0.000
In4 In 0.500 0.500 0.500
Pd1 Pd 0.250 0.250 0.750
Pd2 Pd 0.250 0.750 0.250
Pd3 Pd 0.750 0.250 0.250
Pd4 Pd 0.750 0.750 0.750
# - crystal system = cubic
# - space-group type = F-43m (216)
# - mass density (Mg/m³) = 9.81
# - final energy (eV per formula unit) = -16.0
# - DOS(E_F) (states/eV per cell) = 8.4
# - formation energy from the elements (eV/atom) = -0.59